Material: AcPuCu2Se4
Method: DFT, PBE-GGA
State: relaxed

```
8
Lattice="6.9305 0.0000 0.0000 3.4653 5.3719 0.0485 3.4653 0.4886 5.3499" Properties=species:S:1:pos:R:3 pbc="T T T"
Se 8.6986 3.1196 5.0216
Se 8.6986 2.7409 0.3768
Se 5.1625 5.2604 2.6976
Se 5.1625 0.6001 2.7008
Cu 3.4653 1.9678 1.8126
Cu 10.3958 3.8927 3.5857
Pu 6.9305 2.9303 2.6992
Ac 0.0000 0.0000 0.0000
```

- M_tot (Bohr magnetons per cell) = 5.10
- SG = I222
- formation energy without anion corrections (eV/atom) = -1.0043


Material: AcPuCuSe4
Method: DFT, PBE-GGA
State: relaxed

```
14
Lattice="7.2036 0.0000 0.1335 0.0000 5.9266 0.0000 -2.6553 0.0000 8.1931" Properties=species:S:1:pos:R:3 pbc="T T T"
Cu 3.5624 1.4817 5.6973
Cu 0.9858 4.4450 2.6294
Ac 2.8310 4.4450 7.7330
Ac 1.7173 1.4817 0.5937
Se 2.7834 4.4450 1.0302
Se 3.1025 1.4817 3.3543
Se 1.7649 1.4817 7.2965
Se 6.3948 2.9062 2.2665
Se -1.8465 5.8695 6.0601
Se -1.8465 3.0204 6.0601
Se 1.4458 4.4450 4.9723
Se 6.3948 0.0571 2.2665
Pu 4.0979 4.4450 3.6997
Pu 0.4504 1.4817 4.6269
```

- M_tot (Bohr magnetons per cell) = 10.41
- SG = P2_1/m
- formation energy without anion corrections (eV/atom) = -1.2882


Material: AcPuCuSn
Method: DFT, PBE-GGA
State: relaxed

```
4
Lattice="-0.5270 -0.5197 -5.3872 -0.8466 -4.9055 -2.1884 -4.8426 -1.2176 -2.1532" Properties=species:S:1:pos:R:3 pbc="T T T"
Sn -1.5540 -1.6607 -2.4322
Cu -4.6621 -4.9821 -7.2966
Pu 0.0000 0.0000 0.0000
Ac -3.1081 -3.3214 -4.8644
```

- energy of formation from the pure elements (eV per atom) = -0.1682
- M_tot (Bohr magnetons per cell) = 6.18
- SG = F-43m


Material: AcPuZnCu
Method: DFT, PBE-GGA
State: relaxed

```
4
Lattice="-3.6085 1.4032 3.5452 -0.2241 -2.4598 4.6323 1.4559 2.5072 4.3764" Properties=species:S:1:pos:R:3 pbc="T T T"
Pu -1.1884 0.7253 6.2769
Ac 0.0000 0.0000 0.0000
Zn -0.5942 0.3627 3.1385
Cu -1.7825 1.0880 9.4154
```

- energy of formation from the pure elements (eV per atom) = 0.0215
- M_tot (Bohr magnetons per cell) = 6.01
- SG = F-43m


Material: RbAc2CuSe4
Method: DFT, PBE-GGA
State: relaxed

```
16
Lattice="4.4368 0.0000 0.0000 -2.2184 7.6616 0.0000 0.0000 0.0000 15.1860" Properties=species:S:1:pos:R:3 pbc="T T T"
Se 2.2184 3.6454 9.3829
Se 2.2184 3.6454 13.3961
Se 0.0000 0.0000 0.0000
Se 0.0000 4.0162 5.8031
Se 2.2184 1.1350 3.7965
Se 0.0000 6.5266 11.3895
Se 0.0000 4.0162 1.7899
Se 0.0000 0.0000 7.5930
Cu 0.0000 2.4914 3.7965
Cu 2.2184 5.1702 11.3895
Ac 0.0000 5.5931 14.2543
Ac 2.2184 2.0685 0.9317
Ac 2.2184 2.0685 6.6613
Ac 0.0000 5.5931 8.5247
Rb 2.2184 6.0452 3.7965
Rb 0.0000 1.6164 11.3895
```

- M_tot (Bohr magnetons per cell) = 0.00
- SG = Cmcm
- formation energy without anion corrections (eV/atom) = -1.5660


Material: Rb2AcCu2Se4
Method: DFT, PBE-GGA
State: relaxed

```
9
Lattice="-2.5282 -2.1289 2.7210 -4.3751 -3.1152 -6.5025 7.4676 -3.7288 0.6532" Properties=species:S:1:pos:R:3 pbc="T T T"
Cu 3.9320 -3.1636 1.1782
Cu -3.3677 -5.8094 -4.3066
Se 1.9258 -2.4637 -0.1383
Se -4.2971 -3.6383 -3.4714
Se -1.3615 -6.5093 -2.9901
Se 4.8614 -5.3347 0.3430
Rb -0.8699 -3.0401 -3.1868
Rb 1.4341 -5.9329 0.0584
Ac 0.0000 0.0000 0.0000
```

- M_tot (Bohr magnetons per cell) = 0.00
- SG = C2/m
- formation energy without anion corrections (eV/atom) = -1.0490


no.,calculated total energy (eV per atom)
1,-6.076
2,-6.499
3,-6.803
4,-5.931
5,-4.968
6,-4.179